## Pr2Y8Mg (GGA-PBE)

Data for an optimized crystal structure of Pr2Y8Mg.

Energy relative to the elements = 0.142 eV per atom
Magnetic moment = 0.001 μB/f.u.
ΔE to the lowest computed polymorph = 0.111 eV per atom

a = 18.7057 Å, b = 6.9325 Å, c = 5.7755 Å
α = 90.00°, β = 92.19°, γ = 90.00°
With the nearest neighbours (Å) after each atom.
Space group C2/m (No. 12)
Inequivalent atoms, fractional coordinates:
Pr  0.2200  0.0000  0.2554  5 Y 3.18-3.51
Y  0.0498  0.0000  0.2326  1 Pr 3.18, 1 Y 3.21
Y  0.1245  0.2369  0.7402  7 Y 3.28-3.66, 1 Mg 3.36, 1 Pr 3.43
Y  0.1746  0.5000  0.2342  4 Pr 3.48-3.57, 4 Y 3.48-3.60, 1 Mg 3.49
Mg  0.0000  0.5000  0.0000  6 Y 3.36-3.49


## Pr6Y3Mg (GGA-PBE)

Data for an optimized crystal structure of Pr6Y3Mg.

Energy relative to the elements = 0.011 eV per atom
Magnetic moment = 0.000 μB/f.u.
ΔE to the lowest computed polymorph = 0.000 eV per atom

a = 11.3992 Å, b = 5.1634 Å, c = 11.5285 Å
α = 90.00°, β = 90.89°, γ = 90.00°
With the nearest neighbours (Å) after each atom.
Space group P2_1/m (No. 11)
Inequivalent atoms, fractional coordinates:
Pr  0.0479  0.2500  0.3956  7 Pr 3.58-3.71, 1 Mg 3.60, 4 Y 3.63-3.65
Pr  0.1481  0.7500  0.1933  3 Mg 3.51-3.58, 5 Pr 3.61-3.67, 4 Y 3.63-3.65
Pr  0.1505  0.2500  0.6967  8 Pr 3.58-3.65, 2 Y 3.66, 2 Mg 3.72
Pr  0.2462  0.2500  0.9987  3 Mg 3.55-3.59, 5 Pr 3.61-3.64, 4 Y 3.62-3.66
Pr  0.3463  0.7500  0.8003  6 Pr 3.60-3.66, 1 Mg 3.62, 5 Y 3.63-3.67
Pr  0.4489  0.2500  0.6014  5 Pr 3.59-3.68, 7 Y 3.61-3.67
Y  0.2491  0.7500  0.4953  10 Pr 3.63-3.67, 2 Y 3.65
Y  0.3503  0.2500  0.2966  8 Pr 3.62-3.67, 4 Y 3.63-3.65
Y  0.4506  0.7500  0.0996  8 Pr 3.61-3.66, 4 Y 3.63-3.65
Mg  0.0477  0.7500  0.9035  10 Pr 3.51-3.72, 2 Mg 3.59


## Pr6Y12Mg (GGA-PBE)

Data for an optimized crystal structure of Pr6Y12Mg.

Energy relative to the elements = 0.114 eV per atom
Magnetic moment = 0.000 μB/f.u.
ΔE to the lowest computed polymorph = 0.000 eV per atom

a = 12.0712 Å, b = 12.0712 Å, c = 15.1846 Å
α = 90.00°, β = 90.00°, γ = 120.00°
With the nearest neighbours (Å) after each atom.
Space group R-3 (No. 148, hexagonal axes)
Inequivalent atoms, fractional coordinates:
Pr  0.0149  0.5919  0.1852  7 Y 3.39-3.70, 1 Mg 3.49, 2 Pr 3.53
Y  0.0029  0.8287  0.3123  4 Pr 3.48-3.70, 4 Y 3.50-3.68, 1 Mg 3.53
Y  0.0484  0.1952  0.9154  6 Y 3.33-3.68, 3 Pr 3.39-3.44
Mg  0.0000  0.0000  0.5000  6 Pr 3.49, 6 Y 3.53


## Pr5Y2Mg (GGA-PBE)

Data for an optimized crystal structure of Pr5Y2Mg.

Energy relative to the elements = -0.002 eV per atom
Magnetic moment = 0.000 μB/f.u.
ΔE to the lowest computed polymorph = 0.000 eV per atom

a = 7.3549 Å, b = 11.5834 Å, c = 12.7218 Å
α = 90.00°, β = 90.00°, γ = 90.00°
With the nearest neighbours (Å) after each atom.
Space group Fmm2 (No. 42)
Inequivalent atoms, fractional coordinates:
Pr  0.0000  0.0000  0.0000  8 Pr 3.53-3.82, 2 Y 3.60, 2 Mg 3.68
Pr  0.2379  0.0000  0.2407  6 Pr 3.50-3.85, 4 Y 3.56-3.64, 2 Mg 3.67-3.68
Pr  0.2500  0.2500  0.4086  6 Pr 3.60-3.68, 2 Mg 3.60, 4 Y 3.65-3.71
Y  0.0000  0.2411  0.6559  1 Mg 3.47, 9 Pr 3.56-3.71, 2 Y 3.68
Mg  0.0000  0.0000  0.4947  2 Y 3.47, 10 Pr 3.60-3.68


## PrYMg (GGA-PBE)

Data for an optimized crystal structure of PrYMg.

Energy relative to the elements = -0.055 eV per atom
Magnetic moment = 0.182 μB/f.u.
ΔE to the lowest computed polymorph = 0.004 eV per atom

a = 3.7835 Å, b = 3.7835 Å, c = 12.8890 Å
α = 90.00°, β = 90.00°, γ = 90.00°
With the nearest neighbours (Å) after each atom.
Space group I4mm (No. 107)
Inequivalent atoms, fractional coordinates:
Pr  0.0000  0.0000  0.0000  4 Mg 3.40, 4 Y 3.61, 4 Pr 3.78
Y  0.0000  0.0000  0.6878  4 Mg 3.30, 4 Pr 3.61
Mg  0.0000  0.0000  0.3374  4 Y 3.30, 4 Pr 3.40


## Pr2YMg8 (GGA-PBE)

Data for an optimized crystal structure of Pr2YMg8.

Energy relative to the elements = -0.063 eV per atom
Magnetic moment = 0.000 μB/f.u.

a = 5.1028 Å, b = 7.2277 Å, c = 8.5749 Å
α = 74.49°, β = 72.70°, γ = 89.99°
With the nearest neighbours (Å) after each atom.
Space group P-1 (No. 2)
Inequivalent atoms, fractional coordinates:
Pr  0.2207  0.1477  0.0597  10 Mg 3.30-3.55, 2 Pr 3.63-3.64
Y  0.5000  0.5000  0.5000  12 Mg 3.16-3.40
Mg  0.0219  0.2183  0.4566  5 Mg 3.03-3.18, 2 Y 3.34-3.35
Mg  0.1406  0.6375  0.2176  5 Mg 3.09-3.25, 2 Y 3.40
Mg  0.3250  0.6091  0.8480  4 Mg 3.03-3.25, 1 Y 3.16, 3 Pr 3.30-3.31
Mg  0.4121  0.0379  0.6738  4 Mg 3.03-3.18, 1 Y 3.24, 2 Pr 3.38


## Pr8Y6Mg (GGA-PBE)

Data for an optimized crystal structure of Pr8Y6Mg.

Energy relative to the elements = 0.125 eV per atom
Magnetic moment = 0.000 μB/f.u.

a = 9.4510 Å, b = 9.4510 Å, c = 6.6205 Å
α = 90.00°, β = 90.00°, γ = 120.00°
With the nearest neighbours (Å) after each atom.
Space group P-3 (No. 147)
Inequivalent atoms, fractional coordinates:
Pr  0.0401  0.2772  0.3263  1 Mg 3.27, 3 Pr 3.33-3.36, 3 Y 3.35-3.65
Pr  0.3333  0.6667  0.3630  3 Pr 3.33
Y  0.0964  0.4427  0.8395  1 Y 3.31, 5 Pr 3.35-3.69
Mg  0.0000  0.0000  0.0000  6 Pr 3.27


## PrYMg17 (GGA-PBE)

Data for an optimized crystal structure of PrYMg17.

Energy relative to the elements = -0.043 eV per atom
Magnetic moment = 0.000 μB/f.u.

a = 10.2599 Å, b = 10.2599 Å, c = 15.2384 Å
α = 90.00°, β = 90.00°, γ = 120.00°
With the nearest neighbours (Å) after each atom.
Space group R3m (No. 160, hexagonal axes)
Inequivalent atoms, fractional coordinates:
Pr  0.0000  0.0000  0.0000  16 Mg 3.54-3.85
Y  0.0000  0.0000  0.6592  16 Mg 3.48-3.88
Mg  0.0000  0.0000  0.2324  7 Mg 3.02-3.31
Mg  0.0000  0.0000  0.4309  7 Mg 3.02-3.27
Mg  0.0016  0.3025  0.3304  8 Mg 2.99-3.21
Mg  0.0027  0.5013  0.8296  10 Mg 2.99-3.15
Mg  0.0107  0.5053  0.4817  8 Mg 2.92-3.21
Mg  0.1699  0.3398  0.5128  9 Mg 2.92-3.27


## PrY2Mg3 (GGA-PBE)

Data for an optimized crystal structure of PrY2Mg3.

Energy relative to the elements = -0.108 eV per atom
Magnetic moment = 0.000 μB/f.u.

a = 3.8295 Å, b = 3.8295 Å, c = 11.5546 Å
α = 90.00°, β = 90.00°, γ = 90.00°
With the nearest neighbours (Å) after each atom.
Space group P4/mmm (No. 123)
Inequivalent atoms, fractional coordinates:
Pr  0.0000  0.0000  0.0000  8 Mg 3.39
Y  0.0000  0.0000  0.3373  8 Mg 3.29-3.30
Mg  0.5000  0.5000  0.1759  4 Y 3.29, 4 Pr 3.39
Mg  0.5000  0.5000  0.5000  8 Y 3.30


## PrY2Mg (GGA-PBE)

Data for an optimized crystal structure of PrY2Mg.

Energy relative to the elements = 0.013 eV per atom
Magnetic moment = 0.018 μB/f.u.
ΔE to the lowest computed polymorph = 0.055 eV per atom

a = 4.9699 Å, b = 4.9699 Å, c = 5.0270 Å
α = 90.00°, β = 90.00°, γ = 90.00°
With the nearest neighbours (Å) after each atom.
Space group P4/mmm (No. 123)
Inequivalent atoms, fractional coordinates:
Pr  0.0000  0.0000  0.0000  4 Mg 3.51, 8 Y 3.53
Y  0.0000  0.5000  0.5000  4 Y 3.51, 4 Mg 3.53, 4 Pr 3.53
Mg  0.5000  0.5000  0.0000  4 Pr 3.51, 8 Y 3.53


## Pr9YMg2 (GGA-PBE)

Data for an optimized crystal structure of Pr9YMg2.

Energy relative to the elements = -0.004 eV per atom
Magnetic moment = 0.000 μB/f.u.

a = 5.1133 Å, b = 5.1133 Å, c = 15.4226 Å
α = 90.00°, β = 90.00°, γ = 90.00°
With the nearest neighbours (Å) after each atom.
Space group P4/mmm (No. 123)
Inequivalent atoms, fractional coordinates:
Pr  0.0000  0.0000  0.0000  4 Y 3.62, 8 Pr 3.67
Pr  0.0000  0.0000  0.3358  8 Pr 3.60-3.61, 4 Mg 3.62
Pr  0.0000  0.5000  0.1705  8 Pr 3.61-3.67, 2 Mg 3.62, 2 Y 3.67
Pr  0.0000  0.5000  0.5000  4 Mg 3.58, 8 Pr 3.60-3.62
Y  0.5000  0.5000  0.0000  12 Pr 3.62-3.67
Mg  0.5000  0.5000  0.3371  12 Pr 3.58-3.62


## PrY2Mg (GGA-PBE)

Data for an optimized crystal structure of PrY2Mg.

Energy relative to the elements = 0.084 eV per atom
Magnetic moment = 0.503 μB/f.u.
ΔE to the lowest computed polymorph = 0.125 eV per atom

a = 7.9098 Å, b = 7.9098 Å, c = 7.9098 Å
α = 90.00°, β = 90.00°, γ = 90.00°
With the nearest neighbours (Å) after each atom.
Space group Fm-3m (No. 225)
Inequivalent atoms, fractional coordinates:
Pr  0.0000  0.0000  0.0000  8 Y 3.43
Y  0.2500  0.2500  0.2500  4 Mg 3.43, 4 Pr 3.43
Mg  0.0000  0.0000  0.5000  8 Y 3.43